Zn2MoBr: optimized geometry, PBE. Values from VASP.

Properties
Uncorrected formation energy, meV per atom: 438
Total DFT energy (no corrections), eV for the cell shown: -13.30
Space-group type: Cmmm
Polymorph energy (0 for the lowest one), eV/atom: 0.208

The structure in Quantum ESPRESSO input format:
```
&SYSTEM
  ibrav = 0, nat = 4, ntyp = 3
/
ATOMIC_SPECIES
Br 79.90 Br.upf
Mo 95.94 Mo.upf
Zn 65.41 Zn.upf
CELL_PARAMETERS angstrom
-2.944 3.017 -2.714
-1.471 -0.525 4.764
1.678 2.336 0.776
ATOMIC_POSITIONS angstrom
Br -0.633 2.676 -0.969
Mo 0.104 0.905 2.770
Zn 0.000 0.000 0.000
Zn -2.207 1.246 1.025
```